1.
BaCrIn | PBE-GGA | relaxed

Cell lengths 7.799, 7.799, 7.799 Å; angles 90.00, 90.00, 90.00 degrees
Space group F-43m (No. 216)
One atom of each set of equivalent atoms:
Ba: 0.000 0.000 0.000
Cr: 0.250 0.250 0.750
In: 0.250 0.250 0.250

ΔH_f (0 K): 0.894 eV per atom
mass density: 4.259 g/cm3

---

2.
Nb3MoN | PBE-GGA | relaxed

Cell lengths 4.274, 4.274, 4.274 Å; angles 90.00, 90.00, 90.00 degrees
Space group Pm-3m (No. 221)
One atom of each set of equivalent atoms:
Nb: 0.000 0.000 0.500
Mo: 0.500 0.500 0.500
N: 0.000 0.000 0.000

mass density: 8.264 g/cm3
energy above the lowest structure with this stoichiometry: 0 meV/atom
energy relative to the elements, uncorrected: -299 meV per atom

---

3.
Na3CrBr6 | PBE-GGA | relaxed

Cell lengths 11.9407, 11.9407, 14.4745 Å; angles 90.00, 90.00, 120.00 degrees
Space group R-3 (No. 148, hexagonal axes)
One atom of each set of equivalent atoms:
Na: 0.0583 0.2709 0.2000
Cr: 0.0000 0.0000 0.0000
Cr: 0.0000 0.0000 0.5000
Br: 0.0176 0.1841 0.4007
Br: 0.0392 0.1886 0.8975

mass density: 3.347 g/cm3
energy relative to the elements, uncorrected: -1217 meV per atom

---

Copy entry 1 word for word.
BaCrIn | PBE-GGA | relaxed

Cell lengths 7.799, 7.799, 7.799 Å; angles 90.00, 90.00, 90.00 degrees
Space group F-43m (No. 216)
One atom of each set of equivalent atoms:
Ba: 0.000 0.000 0.000
Cr: 0.250 0.250 0.750
In: 0.250 0.250 0.250

ΔH_f (0 K): 0.894 eV per atom
mass density: 4.259 g/cm3